1.
# PmTh3As4 | Alexandria via LeMat-Bulk | GGA-PBE | relaxed
data_PmTh3As4
_chemical_formula_sum 'Pm1 Th3 As4'
_cell_length_a 6.007
_cell_length_b 6.007
_cell_length_c 6.007
_cell_angle_alpha 90.00
_cell_angle_beta 90.00
_cell_angle_gamma 90.00
_space_group_name_H-M_alt 'P 1'
_space_group_IT_number 1
loop_
_space_group_symop_operation_xyz
'x,y,z'
loop_
_atom_site_label
_atom_site_fract_x
_atom_site_fract_y
_atom_site_fract_z
Th1 0.500 0.000 0.500
Th2 0.000 0.500 0.500
Th3 0.500 0.500 0.000
Pm1 0.000 0.000 0.000
As1 0.500 0.500 0.500
As2 0.000 0.500 0.000
As3 0.000 0.000 0.500
As4 0.500 0.000 0.000
# * total moment: 0.00 μB per formula unit
# * crystal system: cubic
# * symmetry: Pm-3m
# * total energy: -57.157 eV/cell
# * formation energy from the elements: -1.44 eV/atom

***

2.
# Pm3Th5As8 | Alexandria via LeMat-Bulk | GGA-PBE | relaxed
data_Pm3Th5As8
_chemical_formula_sum 'Pm3 Th5 As8'
_cell_length_a 8.500
_cell_length_b 8.500
_cell_length_c 8.489
_cell_angle_alpha 59.95
_cell_angle_beta 59.95
_cell_angle_gamma 60.00
_space_group_name_H-M_alt 'P 1'
_space_group_IT_number 1
loop_
_space_group_symop_operation_xyz
'x,y,z'
loop_
_atom_site_label
_atom_site_fract_x
_atom_site_fract_y
_atom_site_fract_z
Pm1 0.000 0.000 0.500
Pm2 0.000 0.500 0.500
Pm3 0.500 0.000 0.500
As1 0.750 0.250 0.250
As2 0.250 0.250 0.750
As3 0.250 0.250 0.249
As4 0.750 0.250 0.750
As5 0.250 0.750 0.250
As6 0.750 0.750 0.751
As7 0.250 0.750 0.750
As8 0.750 0.750 0.250
Th1 0.000 0.000 0.000
Th2 0.500 0.500 0.000
Th3 0.500 0.500 0.500
Th4 0.500 0.000 0.000
Th5 0.000 0.500 0.000
# * total moment: 0.00 μB per formula unit
# * crystal system: trigonal
# * symmetry: R-3m
# * total energy: -111.887 eV/cell
# * formation energy from the elements: -1.46 eV/atom

***

3.
# Pm3ThAs4 | Alexandria via LeMat-Bulk | GGA-PBE | relaxed
data_Pm3ThAs4
_chemical_formula_sum 'Pm3 Th1 As4'
_cell_length_a 4.247
_cell_length_b 7.342
_cell_length_c 7.342
_cell_angle_alpha 109.46
_cell_angle_beta 90.00
_cell_angle_gamma 90.00
_space_group_name_H-M_alt 'P 1'
_space_group_IT_number 1
loop_
_space_group_symop_operation_xyz
'x,y,z'
loop_
_atom_site_label
_atom_site_fract_x
_atom_site_fract_y
_atom_site_fract_z
As1 0.500 0.751 0.249
As2 0.000 0.249 0.249
As3 0.500 0.249 0.751
As4 0.000 0.751 0.751
Pm1 0.000 0.000 0.500
Pm2 0.000 0.500 0.000
Pm3 0.500 0.500 0.500
Th1 0.500 0.000 0.000
# * total moment: 0.00 μB per formula unit
# * crystal system: orthorhombic
# * energy relative to the lowest polymorph listed for this composition: 0 meV/atom
# * symmetry: Cmmm
# * total energy: -52.444 eV/cell
# * formation energy from the elements: -1.52 eV/atom